Material: HgAs2P
Method: DFT, PBE-GGA
State: relaxed

abc: 6.113 6.113 2.845
angles: 62.41 62.41 77.66
Sites, in units of the cell vectors:
Hg 0.500 0.000 0.500
As 0.500 0.500 0.000
P 0.000 0.500 0.500
As 0.000 0.000 0.000

Summary:
total moment: 0.0 μB per cell

***

Material: HgAsP
Method: DFT, PBE-GGA
State: relaxed

abc: 5.081 5.329 6.356
angles: 66.39 67.64 81.80
Sites, in units of the cell vectors:
Hg 0.438 0.086 0.884
P 0.801 0.779 0.439
As 0.151 0.108 0.393
Hg 0.709 0.527 0.135
As 0.939 0.358 0.690
P 0.355 0.784 0.675

Summary:
total moment: 0.0 μB per cell

***

Material: HgAs2P
Method: DFT, PBE-GGA
State: relaxed

abc: 7.830 7.830 7.830
angles: 155.41 154.78 35.52
Sites, in units of the cell vectors:
Hg 0.557 0.557 0.000
As 0.222 0.722 0.500
P 0.799 0.299 0.500
As 0.922 0.922 0.000

Summary:
total moment: 0.0 μB per cell

***

Material: HgAs2P
Method: DFT, PBE-GGA
State: relaxed

abc: 3.440 4.706 4.833
angles: 90.00 90.00 90.00
Sites, in units of the cell vectors:
As 0.500 0.000 0.500
As 0.000 0.000 0.000
Hg 0.500 0.500 0.000
P 0.000 0.500 0.500

Summary:
total moment: 0.0 μB per cell

***

Material: HgAs2P
Method: DFT, PBE-GGA
State: relaxed

abc: 5.865 5.865 2.773
angles: 90.00 90.00 122.77
Sites, in units of the cell vectors:
P 0.000 0.500 0.500
As 0.000 0.000 0.000
As 0.500 0.500 0.000
Hg 0.500 0.000 0.500

Summary:
total moment: 0.0 μB per cell

***

Material: HgAs2P
Method: DFT, PBE-GGA
State: relaxed

abc: 3.029 3.029 9.874
angles: 90.00 90.00 113.62
Sites, in units of the cell vectors:
P 0.500 0.500 0.750
As 0.000 0.000 0.945
As 0.000 0.000 0.555
Hg 0.500 0.500 0.250

Summary:
total moment: 0.0 μB per cell

***

Material: Hg2AsP
Method: DFT, PBE-GGA
State: relaxed

abc: 4.878 4.875 4.873
angles: 69.91 71.79 110.12
Sites, in units of the cell vectors:
P 0.000 0.500 0.500
Hg 0.500 0.000 0.500
As 0.500 0.500 0.000
Hg 0.000 0.000 0.000

Summary:
total moment: 0.0 μB per cell

***

Material: Hg2AsP
Method: DFT, PBE-GGA
State: relaxed

abc: 7.549 7.549 7.549
angles: 154.64 142.46 45.85
Sites, in units of the cell vectors:
As 0.322 0.822 0.500
Hg 0.691 0.191 0.500
Hg 0.053 0.053 0.000
P 0.434 0.434 0.000

Summary:
total moment: 0.0 μB per cell

***

Material: HgAs2P
Method: DFT, PBE-GGA
State: relaxed

abc: 4.810 4.810 4.810
angles: 60.00 60.00 60.00
Sites, in units of the cell vectors:
Hg 0.500 0.500 0.500
P 0.000 0.000 0.000
As 0.750 0.750 0.750
As 0.250 0.250 0.250

Summary:
total moment: 0.0 μB per cell

***

Material: HgAs4P
Method: DFT, PBE-GGA
State: relaxed

abc: 5.620 5.620 5.620
angles: 60.00 60.00 60.00
Sites, in units of the cell vectors:
P 0.000 0.000 0.000
As 0.370 0.370 0.370
As 0.370 0.889 0.370
As 0.889 0.370 0.370
Hg 0.750 0.750 0.750
As 0.370 0.370 0.889

Summary:
total moment: 0.0 μB per cell

***

Material: HgAsP
Method: DFT, PBE-GGA
State: relaxed

abc: 4.466 5.443 6.515
angles: 73.86 76.06 69.87
Sites, in units of the cell vectors:
As 0.071 0.576 0.721
P 0.266 0.660 0.001
As 0.929 0.424 0.279
Hg 0.570 0.082 0.692
P 0.734 0.340 0.999
Hg 0.430 0.918 0.308

Summary:
total moment: 0.0 μB per cell

***

Material: HgAsP
Method: DFT, PBE-GGA
State: relaxed

abc: 4.597 4.597 4.597
angles: 60.00 60.00 60.00
Sites, in units of the cell vectors:
Hg 0.500 0.500 0.500
As 0.000 0.000 0.000
P 0.750 0.750 0.750

Summary:
total moment: 0.0 μB per cell

***

no.,final energy (eV/atom)
1,-3.43
2,-3.31
3,-3.40
4,-3.13
5,-3.15
6,-3.31
7,-2.30
8,-2.45
9,-3.15
10,-3.39
11,-3.33
12,-2.93